Material: CuNiF2
Method: DFT, GGA+U
State: relaxed

abc: 5.5515 5.5515 5.5515
angles: 90.00 90.00 90.00
Fractional positions:
Cu  0.0000  0.0000  0.0000
Cu  0.0000  0.5000  0.5000
Cu  0.5000  0.0000  0.5000
Cu  0.5000  0.5000  0.0000
Ni  0.0000  0.0000  0.5000
Ni  0.0000  0.5000  0.0000
Ni  0.5000  0.0000  0.0000
Ni  0.5000  0.5000  0.5000
F  0.2500  0.2500  0.2500
F  0.2500  0.2500  0.7500
F  0.2500  0.7500  0.2500
F  0.2500  0.7500  0.7500
F  0.7500  0.2500  0.2500
F  0.7500  0.2500  0.7500
F  0.7500  0.7500  0.2500
F  0.7500  0.7500  0.7500

Results
For the density, the calculation gives 6.2 g/cm3. For the excess energy over the best structure of this formula in the dataset, the calculation gives 0.796 eV/atom.